The following is a PBE-GGA calculation of a relaxed KNbSiO5 crystal, from Alexandria.

- size of the total moment (Bohr magnetons per cell) = 0.00
- formation energy (no corrections) (meV per atom) = -2545
- energy (eV/f.u.) = -61.7

The structure in POSCAR format:
```
KNbSiO5
1.0
5.765 0.115 -0.106
-1.573 5.548 -0.106
-1.871 -2.528 6.885
K Nb Si O
2 2 2 10
Direct
0.330 0.670 0.250 K
0.670 0.330 0.750 K
0.000 0.000 0.500 Nb
0.000 0.000 0.000 Nb
0.687 0.313 0.250 Si
0.313 0.687 0.750 Si
0.057 0.943 0.250 O
0.943 0.057 0.750 O
0.871 0.285 0.116 O
0.129 0.715 0.884 O
0.715 0.129 0.384 O
0.285 0.871 0.616 O
0.774 0.620 0.389 O
0.226 0.380 0.611 O
0.380 0.226 0.111 O
0.620 0.774 0.889 O
```